Run 1
Material: La2ZnCuN
Method: DFT, PBE
State: optimized geometry

Structure (CIF):
```
data_La2ZnCuN
_symmetry_space_group_name_H-M 'P 4/m m m'
_symmetry_Int_Tables_number 123
_symmetry_space_group_name_Hall '-P 4 2'
_cell_length_a 5.2027
_cell_length_b 5.2027
_cell_length_c 3.8787
_cell_angle_alpha 90.00
_cell_angle_beta 90.00
_cell_angle_gamma 90.00
loop_
_atom_site_label
_atom_site_type_symbol
_atom_site_fract_x
_atom_site_fract_y
_atom_site_fract_z
La1 La 0.0000 0.5000 0.0000
Zn1 Zn 0.0000 0.0000 0.5000
Cu1 Cu 0.5000 0.5000 0.5000
N1 N 0.5000 0.5000 0.0000
```

Run 2
Material: La2ZnCuN
Method: DFT, PBE
State: optimized geometry

Structure (CIF):
```
data_La2ZnCuN
_symmetry_space_group_name_H-M 'P 4/m m m'
_symmetry_Int_Tables_number 123
_symmetry_space_group_name_Hall '-P 4 2'
_cell_length_a 5.1278
_cell_length_b 5.1278
_cell_length_c 4.0446
_cell_angle_alpha 90.00
_cell_angle_beta 90.00
_cell_angle_gamma 90.00
loop_
_atom_site_label
_atom_site_type_symbol
_atom_site_fract_x
_atom_site_fract_y
_atom_site_fract_z
La1 La 0.0000 0.5000 0.0000
Zn1 Zn 0.0000 0.0000 0.5000
Cu1 Cu 0.5000 0.5000 0.5000
N1 N 0.0000 0.0000 0.0000
```

Preferred: run 1; penalty for the next structure: 108 meV/atom.

Run 1
Material: NaLa2Cu2
Method: DFT, PBE
State: optimized geometry

Structure (CIF):
```
data_NaLa2Cu2
_symmetry_space_group_name_H-M 'I 4/m m m'
_symmetry_Int_Tables_number 139
_symmetry_space_group_name_Hall '-I 4 2'
_cell_length_a 3.5542
_cell_length_b 3.5542
_cell_length_c 22.1824
_cell_angle_alpha 90.00
_cell_angle_beta 90.00
_cell_angle_gamma 90.00
loop_
_atom_site_label
_atom_site_type_symbol
_atom_site_fract_x
_atom_site_fract_y
_atom_site_fract_z
Na1 Na 0.0000 0.0000 0.0000
La1 La 0.0000 0.0000 0.3607
Cu1 Cu 0.0000 0.5000 0.2500
```

Run 2
Material: NaLa2Cu2
Method: DFT, PBE
State: optimized geometry

Structure (CIF):
```
data_NaLa2Cu2
_symmetry_space_group_name_H-M 'P 4/m b m'
_symmetry_Int_Tables_number 127
_symmetry_space_group_name_Hall '-P 4 2ab'
_cell_length_a 8.2396
_cell_length_b 8.2396
_cell_length_c 3.8622
_cell_angle_alpha 90.00
_cell_angle_beta 90.00
_cell_angle_gamma 90.00
loop_
_atom_site_label
_atom_site_type_symbol
_atom_site_fract_x
_atom_site_fract_y
_atom_site_fract_z
Na1 Na 0.0000 0.0000 0.0000
La1 La 0.1611 0.3389 0.5000
Cu1 Cu 0.1206 0.6206 0.0000
```

Run 3
Material: NaLa2Cu2
Method: DFT, PBE
State: optimized geometry

Structure (CIF):
```
data_NaLa2Cu2
_symmetry_space_group_name_H-M 'P 4/m b m'
_symmetry_Int_Tables_number 127
_symmetry_space_group_name_Hall '-P 4 2ab'
_cell_length_a 8.7073
_cell_length_b 8.7073
_cell_length_c 3.4531
_cell_angle_alpha 90.00
_cell_angle_beta 90.00
_cell_angle_gamma 90.00
loop_
_atom_site_label
_atom_site_type_symbol
_atom_site_fract_x
_atom_site_fract_y
_atom_site_fract_z
Na1 Na 0.0000 0.0000 0.0000
La1 La 0.1421 0.3579 0.0000
Cu1 Cu 0.1478 0.6478 0.5000
```

Preferred: run 2; penalty for the next structure: 136 meV/atom.

Run 1
Material: LaNbCu3
Method: DFT, PBE
State: optimized geometry

Structure (CIF):
```
data_LaNbCu3
_symmetry_space_group_name_H-M 'P m -3 m'
_symmetry_Int_Tables_number 221
_symmetry_space_group_name_Hall '-P 4 2 3'
_cell_length_a 4.8420
_cell_length_b 4.8420
_cell_length_c 4.8420
_cell_angle_alpha 90.00
_cell_angle_beta 90.00
_cell_angle_gamma 90.00
loop_
_atom_site_label
_atom_site_type_symbol
_atom_site_fract_x
_atom_site_fract_y
_atom_site_fract_z
La1 La 0.0000 0.0000 0.0000
Nb1 Nb 0.5000 0.5000 0.5000
Cu1 Cu 0.0000 0.0000 0.5000
```

Run 2
Material: LaNbCu3
Method: DFT, PBE
State: optimized geometry

Structure (CIF):
```
data_LaNbCu3
_symmetry_space_group_name_H-M 'P m -3 m'
_symmetry_Int_Tables_number 221
_symmetry_space_group_name_Hall '-P 4 2 3'
_cell_length_a 4.8130
_cell_length_b 4.8130
_cell_length_c 4.8130
_cell_angle_alpha 90.00
_cell_angle_beta 90.00
_cell_angle_gamma 90.00
loop_
_atom_site_label
_atom_site_type_symbol
_atom_site_fract_x
_atom_site_fract_y
_atom_site_fract_z
La1 La 0.0000 0.0000 0.0000
Nb1 Nb 0.5000 0.5000 0.5000
Cu1 Cu 0.0000 0.5000 0.5000
```

Preferred: run 2; penalty for the next structure: 971 meV/atom.

Run 1
Material: LaNb2Cu
Method: DFT, PBE
State: optimized geometry

Structure (CIF):
```
data_LaNb2Cu
_symmetry_space_group_name_H-M 'I -4 2 d'
_symmetry_Int_Tables_number 122
_symmetry_space_group_name_Hall 'I -4 2bw'
_cell_length_a 4.0406
_cell_length_b 4.0406
_cell_length_c 20.7272
_cell_angle_alpha 90.00
_cell_angle_beta 90.00
_cell_angle_gamma 90.00
loop_
_atom_site_label
_atom_site_type_symbol
_atom_site_fract_x
_atom_site_fract_y
_atom_site_fract_z
La1 La 0.0000 0.0000 0.0000
Nb1 Nb 0.2331 0.2500 0.6250
Cu1 Cu 0.0000 0.0000 0.5000
```

Run 2
Material: LaNb2Cu
Method: DFT, PBE
State: optimized geometry

Structure (CIF):
```
data_LaNb2Cu
_symmetry_space_group_name_H-M 'F m -3 m'
_symmetry_Int_Tables_number 225
_symmetry_space_group_name_Hall '-F 4 2 3'
_cell_length_a 6.6952
_cell_length_b 6.6952
_cell_length_c 6.6952
_cell_angle_alpha 90.00
_cell_angle_beta 90.00
_cell_angle_gamma 90.00
loop_
_atom_site_label
_atom_site_type_symbol
_atom_site_fract_x
_atom_site_fract_y
_atom_site_fract_z
La1 La 0.0000 0.0000 0.0000
Nb1 Nb 0.2500 0.2500 0.2500
Cu1 Cu 0.0000 0.0000 0.5000
```

Preferred: run 1; penalty for the next structure: 35 meV/atom.

Run 1
Material: LaNdCu
Method: DFT, PBE
State: optimized geometry

Structure (CIF):
```
data_LaNdCu
_symmetry_space_group_name_H-M 'P n m a'
_symmetry_Int_Tables_number 62
_symmetry_space_group_name_Hall '-P 2ac 2n'
_cell_length_a 7.8121
_cell_length_b 4.9725
_cell_length_c 8.6398
_cell_angle_alpha 90.00
_cell_angle_beta 90.00
_cell_angle_gamma 90.00
loop_
_atom_site_label
_atom_site_type_symbol
_atom_site_fract_x
_atom_site_fract_y
_atom_site_fract_z
La1 La 0.0283 0.2500 0.1624
Nd1 Nd 0.1427 0.2500 0.5888
Cu1 Cu 0.2285 0.7500 0.4011
```

Run 2
Material: LaNdCu
Method: DFT, PBE
State: optimized geometry

Structure (CIF):
```
data_LaNdCu
_symmetry_space_group_name_H-M 'I 4 m m'
_symmetry_Int_Tables_number 107
_symmetry_space_group_name_Hall 'I 4 -2'
_cell_length_a 3.6606
_cell_length_b 3.6606
_cell_length_c 12.6485
_cell_angle_alpha 90.00
_cell_angle_beta 90.00
_cell_angle_gamma 90.00
loop_
_atom_site_label
_atom_site_type_symbol
_atom_site_fract_x
_atom_site_fract_y
_atom_site_fract_z
La1 La 0.0000 0.0000 0.0000
Nd1 Nd 0.0000 0.0000 0.7246
Cu1 Cu 0.0000 0.0000 0.3557
```

Preferred: run 1; penalty for the next structure: 21 meV/atom.

Run 1
Material: LaNdCu
Method: DFT, PBE
State: optimized geometry

Structure (CIF):
```
data_LaNdCu
_symmetry_space_group_name_H-M 'P m m a'
_symmetry_Int_Tables_number 51
_symmetry_space_group_name_Hall '-P 2a 2a'
_cell_length_a 15.5286
_cell_length_b 3.9016
_cell_length_c 8.4487
_cell_angle_alpha 90.00
_cell_angle_beta 90.00
_cell_angle_gamma 90.00
loop_
_atom_site_label
_atom_site_type_symbol
_atom_site_fract_x
_atom_site_fract_y
_atom_site_fract_z
La1 La 0.0550 0.0000 0.1965
La2 La 0.2500 0.0000 0.8692
Nd1 Nd 0.1094 0.5000 0.5781
Nd2 Nd 0.2500 0.5000 0.2440
Cu1 Cu 0.0924 0.5000 0.9361
Cu2 Cu 0.2500 0.0000 0.4974
```

Run 2
Material: LaNdCu
Method: DFT, PBE
State: optimized geometry

Structure (CIF):
```
data_LaNdCu
_symmetry_space_group_name_H-M 'P 3 m 1'
_symmetry_Int_Tables_number 156
_symmetry_space_group_name_Hall 'P 3 -2"'
_cell_length_a 4.9003
_cell_length_b 4.9003
_cell_length_c 3.8795
_cell_angle_alpha 90.00
_cell_angle_beta 90.00
_cell_angle_gamma 120.00
loop_
_atom_site_label
_atom_site_type_symbol
_atom_site_fract_x
_atom_site_fract_y
_atom_site_fract_z
La1 La 0.0000 0.0000 0.0000
Nd1 Nd 0.3333 0.6667 0.4168
Cu1 Cu 0.6667 0.3333 0.6760
```

Run 3
Material: LaNdCu
Method: DFT, PBE
State: optimized geometry

Structure (CIF):
```
data_LaNdCu
_symmetry_space_group_name_H-M 'F -4 3 m'
_symmetry_Int_Tables_number 216
_symmetry_space_group_name_Hall 'F -4 2 3'
_cell_length_a 7.1261
_cell_length_b 7.1261
_cell_length_c 7.1261
_cell_angle_alpha 90.00
_cell_angle_beta 90.00
_cell_angle_gamma 90.00
loop_
_atom_site_label
_atom_site_type_symbol
_atom_site_fract_x
_atom_site_fract_y
_atom_site_fract_z
La1 La 0.0000 0.0000 0.0000
Nd1 Nd 0.0000 0.0000 0.5000
Cu1 Cu 0.2500 0.2500 0.2500
```

Preferred: run 1; penalty for the next structure: 133 meV/atom.